1.
Here is an optimized crystal structure of TcTe2PdI from Alexandria. Energies are from GGA-PBE.

The structure in extended XYZ format:
```
5
Lattice="5.074 0.000 0.000 0.000 5.074 0.000 0.000 0.000 5.811" Properties=species:S:1:pos:R:3 pbc="T T T"
Te 0.000 2.537 0.000
Tc 0.000 0.000 0.000
Te 2.537 0.000 0.000
Pd 2.537 2.537 2.906
I 0.000 0.000 2.906
```

The value obtained for the raw formation energy is 0.7187 eV per atom. For the raw total energy, the calculation gives -3.96 eV per atom.

2.
Here is an optimized crystal structure of LaHoPtRh from Alexandria. Energies are from GGA-PBE.

The structure in extended XYZ format:
```
4
Lattice="-2.763 0.197 -2.670 3.036 -0.885 -3.207 0.465 -5.294 1.900" Properties=species:S:1:pos:R:3 pbc="T T T"
La -0.269 -1.524 0.166
Pt -0.017 -1.210 -2.844
Rh -0.741 -4.203 0.457
Ho -0.533 -4.140 -2.526
```

For the formation energy, the calculation gives -1.020 eV/atom. For the raw total energy, the calculation gives -6.74 eV per atom.

3.
Here is an optimized crystal structure of CsNi3Ru from Alexandria. Energies are from GGA-PBE.

The structure in extended XYZ format:
```
5
Lattice="4.676 0.000 0.000 0.000 4.676 0.000 0.000 0.000 4.676" Properties=species:S:1:pos:R:3 pbc="T T T"
Ni 2.338 0.000 0.000
Ni 0.000 2.338 0.000
Cs 0.000 0.000 0.000
Ni 0.000 0.000 2.338
Ru 2.338 2.338 2.338
```

For the formation energy, the calculation gives 2.516 eV/atom. For the raw total energy, the calculation gives -2.98 eV per atom.